No. 1
Material: Mo2RuRh
Method: DFT, GGA-PBEsol
State: relaxed

Computed properties:
E above lowest polymorph: 0.000 eV per atom
E_form: -0.0795 eV per atom
V: 14.24 Å³ per atom

abc: 3.8663 3.8663 4.6903
angles: 114.34 114.34 90.00
Fractional coordinates of all 4 atoms:
1 Mo 0.2500 0.7500 0.5000
2 Mo 0.7500 0.2500 0.5000
3 Ru 0.5000 0.5000 0.0000
4 Rh 0.0000 0.0000 0.0000

No. 2
Material: LiSbO3
Method: DFT, GGA-PBEsol
State: relaxed

Computed properties:
V: 10.53 Å³ per atom
raw formation energy: -8.3 eV per formula unit

abc: 5.9499 5.9499 5.9499
angles: 90.00 90.00 90.00
Fractional coordinates of all 20 atoms:
1 O 0.6360 0.4848 0.2750
2 O 0.1360 0.0152 0.7250
3 O 0.2750 0.6360 0.4848
4 O 0.7250 0.1360 0.0152
5 O 0.5152 0.7750 0.8640
6 O 0.9848 0.2250 0.3640
7 O 0.2250 0.3640 0.9848
8 O 0.4848 0.2750 0.6360
9 O 0.0152 0.7250 0.1360
10 O 0.3640 0.9848 0.2250
11 O 0.8640 0.5152 0.7750
12 O 0.7750 0.8640 0.5152
13 Sb 0.9082 0.4082 0.0918
14 Sb 0.0918 0.9082 0.4082
15 Sb 0.5918 0.5918 0.5918
16 Sb 0.4082 0.0918 0.9082
17 Li 0.3726 0.6274 0.1274
18 Li 0.1274 0.3726 0.6274
19 Li 0.6274 0.1274 0.3726
20 Li 0.8726 0.8726 0.8726

No. 3
Material: LaTa2Cu
Method: DFT, GGA-PBEsol
State: relaxed

Computed properties:
E above lowest polymorph: 0.000 eV per atom
E_form: 0.5796 eV per atom
V: 19.32 Å³ per atom

abc: 4.0894 4.0894 5.4512
angles: 112.03 112.03 90.00
Fractional coordinates of all 4 atoms:
1 Cu 0.5000 0.5000 0.0000
2 Ta 0.2500 0.7500 0.5000
3 Ta 0.7500 0.2500 0.5000
4 La 0.0000 0.0000 0.0000

No. 4
Material: BeCd2W
Method: DFT, GGA-PBEsol
State: relaxed

Computed properties:
E_form: 0.8883 eV per atom
V: 16.15 Å³ per atom

abc: 4.5034 4.5034 4.5034
angles: 60.00 60.00 60.00
Each line ends with the local moment (μB).
Fractional coordinates of all 4 atoms:
1 W 0.2500 0.2500 0.2500  1.34
2 Cd 0.0000 0.0000 0.0000  0.02
3 Cd 0.7500 0.7500 0.7500  0.00
4 Be 0.5000 0.5000 0.5000  0.00

No. 5
Material: Sb2Au2Cl
Method: DFT, GGA-PBEsol
State: relaxed

Computed properties:
V: 24.24 Å³ per atom
raw formation energy: 0.2 eV per formula unit

abc: 5.0647 5.0647 5.9288
angles: 115.29 115.29 90.00
Fractional coordinates of all 5 atoms:
1 Sb 0.7500 0.2500 0.5000
2 Sb 0.2500 0.7500 0.5000
3 Cl 0.0000 0.0000 0.0000
4 Au 0.6436 0.6436 0.2873
5 Au 0.3564 0.3564 0.7127

No. 6
Material: ZrGe3Os
Method: DFT, GGA-PBEsol
State: relaxed

Computed properties:
E_form: 1.7176 eV per atom
V: 24.60 Å³ per atom

abc: 4.9734 4.9734 4.9734
angles: 90.00 90.00 90.00
Each line ends with the local moment (μB).
Fractional coordinates of all 5 atoms:
1 Ge 0.0000 0.5000 0.0000  0.01
2 Ge 0.0000 0.0000 0.5000  0.01
3 Ge 0.5000 0.0000 0.0000  0.01
4 Os 0.5000 0.5000 0.5000  2.32
5 Zr 0.0000 0.0000 0.0000  0.08

No. 7
Material: TiAl2Zn
Method: DFT, GGA-PBEsol
State: relaxed

Computed properties:
E_form: -0.4002 eV per atom
V: 14.86 Å³ per atom

abc: 3.9313 3.9313 3.8462
angles: 90.00 90.00 90.00
Fractional coordinates of all 4 atoms:
1 Zn 0.5000 0.5000 0.0000
2 Al 0.5000 0.0000 0.5000
3 Al 0.0000 0.5000 0.5000
4 Ti 0.0000 0.0000 0.0000

No. 8
Material: BeSiB2
Method: DFT, GGA-PBEsol
State: relaxed

Computed properties:
V: 8.46 Å³ per atom
raw formation energy: 3.9 eV per formula unit

abc: 3.6304 3.6304 3.6304
angles: 60.00 60.00 60.00
Fractional coordinates of all 4 atoms:
1 Si 0.5000 0.5000 0.5000
2 Be 0.0000 0.0000 0.0000
3 B 0.7500 0.7500 0.7500
4 B 0.2500 0.2500 0.2500

Copy entry 2 word for word.
Material: LiSbO3
Method: DFT, GGA-PBEsol
State: relaxed

Computed properties:
V: 10.53 Å³ per atom
raw formation energy: -8.3 eV per formula unit

abc: 5.9499 5.9499 5.9499
angles: 90.00 90.00 90.00
Fractional coordinates of all 20 atoms:
1 O 0.6360 0.4848 0.2750
2 O 0.1360 0.0152 0.7250
3 O 0.2750 0.6360 0.4848
4 O 0.7250 0.1360 0.0152
5 O 0.5152 0.7750 0.8640
6 O 0.9848 0.2250 0.3640
7 O 0.2250 0.3640 0.9848
8 O 0.4848 0.2750 0.6360
9 O 0.0152 0.7250 0.1360
10 O 0.3640 0.9848 0.2250
11 O 0.8640 0.5152 0.7750
12 O 0.7750 0.8640 0.5152
13 Sb 0.9082 0.4082 0.0918
14 Sb 0.0918 0.9082 0.4082
15 Sb 0.5918 0.5918 0.5918
16 Sb 0.4082 0.0918 0.9082
17 Li 0.3726 0.6274 0.1274
18 Li 0.1274 0.3726 0.6274
19 Li 0.6274 0.1274 0.3726
20 Li 0.8726 0.8726 0.8726